First-principles (GGA-PBE) data for a relaxed TcAgPd2C crystal, as listed in Alexandria via LeMat-Bulk.

Cell: 5.0305 3.7640 5.0305 Å, 90.00 90.00 90.00°
Fractional positions:
Pd  0.5000  0.0000  0.0000
Ag  0.0000  0.0000  0.0000
C  0.0000  0.5000  0.0000
Pd  0.0000  0.0000  0.5000
Tc  0.5000  0.5000  0.5000

Calculated values
- Space group: P4/mmm, No. 123
- Crystal system: tetragonal
- DOS(E_F): 2.7 states/eV/f.u.
- Total DFT energy (no corrections): -4.63 eV/atom
- Size of the total moment: 4.23 Bohr magnetons per cell